1.
## NpPa3Sn12 (GGA-PBE)

Data for an optimized crystal structure of NpPa3Sn12.

- total magnetic moment (μB/f.u.) = 3.8
- calculated total energy (eV/atom) = -5.863
- calculated density (g cm⁻³) = 9.76
- formation enthalpy at 0 K (eV per atom) = -0.272
- crystal system = tetragonal

Geometry as CIF:
```
data_NpPa3Sn12
_cell_length_a 4.661
_cell_length_b 4.661
_cell_length_c 18.438
_cell_angle_alpha 90.00
_cell_angle_beta 90.00
_cell_angle_gamma 90.00
_space_group_name_H-M_alt 'P 4/m m m'
_space_group_IT_number 123
_space_group_name_Hall '-P 4 2'
loop_
_atom_site_label
_atom_site_type_symbol
_atom_site_fract_x
_atom_site_fract_y
_atom_site_fract_z
Np1 Np 0.000 0.000 0.000
Pa1 Pa 0.000 0.000 0.250
Pa2 Pa 0.000 0.000 0.500
Sn1 Sn 0.000 0.500 0.124
Sn2 Sn 0.000 0.500 0.375
Sn3 Sn 0.500 0.500 0.000
Sn4 Sn 0.500 0.500 0.249
Sn5 Sn 0.500 0.500 0.500
```



2.
## Pm2Ga3FeIr4 (GGA-PBE)

Data for an optimized crystal structure of Pm2Ga3FeIr4.

- total magnetic moment (μB/f.u.) = 3.2
- calculated total energy (eV/atom) = -6.841
- calculated density (g cm⁻³) = 11.89
- formation enthalpy at 0 K (eV per atom) = -0.592
- crystal system = tetragonal

Geometry as CIF:
```
data_Pm2Ga3FeIr4
_cell_length_a 4.221
_cell_length_b 4.221
_cell_length_c 10.381
_cell_angle_alpha 90.00
_cell_angle_beta 90.00
_cell_angle_gamma 90.00
_space_group_name_H-M_alt 'P -4 m 2'
_space_group_IT_number 115
_space_group_name_Hall 'P -4 -2'
loop_
_atom_site_label
_atom_site_type_symbol
_atom_site_fract_x
_atom_site_fract_y
_atom_site_fract_z
Pm1 Pm 0.000 0.500 0.244
Ga1 Ga 0.000 0.500 0.871
Ga2 Ga 0.500 0.500 0.500
Fe1 Fe 0.000 0.000 0.500
Ir1 Ir 0.000 0.000 0.000
Ir2 Ir 0.000 0.500 0.632
Ir3 Ir 0.500 0.500 0.000
```



3.
## Sr2MgSnPd6 (GGA-PBE)

Data for an optimized crystal structure of Sr2MgSnPd6.

- total magnetic moment (μB/f.u.) = 0.0
- calculated total energy (eV/atom) = -4.534
- calculated density (g cm⁻³) = 7.03
- formation enthalpy at 0 K (eV per atom) = -0.523
- crystal system = triclinic

Geometry as CIF:
```
data_Sr2MgSnPd6
_cell_length_a 5.688
_cell_length_b 6.903
_cell_length_c 6.916
_cell_angle_alpha 80.60
_cell_angle_beta 65.93
_cell_angle_gamma 65.75
_space_group_name_H-M_alt 'P -1'
_space_group_IT_number 2
_space_group_name_Hall '-P 1'
loop_
_atom_site_label
_atom_site_type_symbol
_atom_site_fract_x
_atom_site_fract_y
_atom_site_fract_z
Sr1 Sr 0.033 0.219 0.214
Mg1 Mg 0.500 0.500 0.000
Sn1 Sn 0.500 0.000 0.500
Pd1 Pd 0.003 0.752 0.255
Pd2 Pd 0.337 0.420 0.417
Pd3 Pd 0.493 0.755 0.249
```



4.
## Rb2TlC (GGA-PBE)

Data for an optimized crystal structure of Rb2TlC.

- total magnetic moment (μB/f.u.) = 0.0
- calculated total energy (eV/atom) = -2.511
- calculated density (g cm⁻³) = 3.53
- formation enthalpy at 0 K (eV per atom) = 0.871
- ΔE to the lowest computed polymorph (eV/f.u.) = 0.00
- crystal system = tetragonal

Geometry as CIF:
```
data_Rb2TlC
_cell_length_a 12.838
_cell_length_b 12.838
_cell_length_c 4.417
_cell_angle_alpha 90.00
_cell_angle_beta 90.00
_cell_angle_gamma 90.00
_space_group_name_H-M_alt 'I -4 2 d'
_space_group_IT_number 122
_space_group_name_Hall 'I -4 2bw'
loop_
_atom_site_label
_atom_site_type_symbol
_atom_site_fract_x
_atom_site_fract_y
_atom_site_fract_z
Rb1 Rb 0.049 0.250 0.125
Tl1 Tl 0.000 0.000 0.500
C1 C 0.000 0.000 0.000
```



5.
## Y3TmTh (GGA-PBE)

Data for an optimized crystal structure of Y3TmTh.

- total magnetic moment (μB/f.u.) = 0.0
- calculated total energy (eV/atom) = -6.082
- calculated density (g cm⁻³) = 6.79
- formation enthalpy at 0 K (eV per atom) = 0.175
- ΔE to the lowest computed polymorph (eV/f.u.) = 0.74
- crystal system = orthorhombic

Geometry as CIF:
```
data_Y3TmTh
_cell_length_a 13.100
_cell_length_b 13.199
_cell_length_c 7.560
_cell_angle_alpha 90.00
_cell_angle_beta 90.00
_cell_angle_gamma 90.00
_space_group_name_H-M_alt 'C m c e'
_space_group_IT_number 64
_space_group_name_Hall '-C 2ac 2'
loop_
_atom_site_label
_atom_site_type_symbol
_atom_site_fract_x
_atom_site_fract_y
_atom_site_fract_z
Y1 Y 0.000 0.094 0.146
Y2 Y 0.149 0.225 0.879
Tm1 Tm 0.250 0.024 0.250
Th1 Th 0.000 0.106 0.582
```



6.
## Ac6Tl3Zn (GGA-PBE)

Data for an optimized crystal structure of Ac6Tl3Zn.

- total magnetic moment (μB/f.u.) = 0.0
- calculated total energy (eV/atom) = -3.523
- calculated density (g cm⁻³) = 9.41
- formation enthalpy at 0 K (eV per atom) = -0.221
- ΔE to the lowest computed polymorph (eV/f.u.) = 0.00
- crystal system = monoclinic

Geometry as CIF:
```
data_Ac6Tl3Zn
_cell_length_a 10.155
_cell_length_b 5.755
_cell_length_c 12.920
_cell_angle_alpha 90.00
_cell_angle_beta 107.43
_cell_angle_gamma 90.00
_space_group_name_H-M_alt 'P 1 21/m 1'
_space_group_IT_number 11
_space_group_name_Hall '-P 2yb'
loop_
_atom_site_label
_atom_site_type_symbol
_atom_site_fract_x
_atom_site_fract_y
_atom_site_fract_z
Ac1 Ac 0.015 0.250 0.400
Ac2 Ac 0.163 0.750 0.173
Ac3 Ac 0.261 0.250 0.002
Ac4 Ac 0.362 0.750 0.836
Ac5 Ac 0.372 0.250 0.349
Ac6 Ac 0.390 0.250 0.627
Tl1 Tl 0.032 0.750 0.885
Tl2 Tl 0.124 0.250 0.727
Tl3 Tl 0.271 0.750 0.467
Zn1 Zn 0.457 0.750 0.106
```



7.
## PuCd2O8 (GGA-PBE)

Data for an optimized crystal structure of PuCd2O8.

- total magnetic moment (μB/f.u.) = 2.6
- calculated total energy (eV/atom) = -6.047
- calculated density (g cm⁻³) = 5.91
- formation energy (no corrections) (eV/atom) = -0.97
- crystal system = monoclinic

Geometry as CIF:
```
data_PuCd2O8
_cell_length_a 11.161
_cell_length_b 7.684
_cell_length_c 4.133
_cell_angle_alpha 90.00
_cell_angle_beta 108.92
_cell_angle_gamma 90.00
_space_group_name_H-M_alt 'C 1 2/m 1'
_space_group_IT_number 12
_space_group_name_Hall '-C 2y'
loop_
_atom_site_label
_atom_site_type_symbol
_atom_site_fract_x
_atom_site_fract_y
_atom_site_fract_z
Pu1 Pu 0.000 0.000 0.000
Cd1 Cd 0.223 0.500 0.086
O1 O 0.002 0.500 0.652
O2 O 0.079 0.175 0.828
O3 O 0.221 0.000 0.375
```



8.
## Na2BiSe2 (GGA-PBE)

Data for an optimized crystal structure of Na2BiSe2.

- total magnetic moment (μB/f.u.) = 0.0
- calculated total energy (eV/atom) = -3.406
- calculated density (g cm⁻³) = 5.35
- formation energy (no corrections) (eV/atom) = -0.71
- ΔE to the lowest computed polymorph (eV/f.u.) = 0.00
- crystal system = tetragonal

Geometry as CIF:
```
data_Na2BiSe2
_cell_length_a 8.024
_cell_length_b 8.024
_cell_length_c 3.981
_cell_angle_alpha 90.00
_cell_angle_beta 90.00
_cell_angle_gamma 90.00
_space_group_name_H-M_alt 'P 4/m b m'
_space_group_IT_number 127
_space_group_name_Hall '-P 4 2ab'
loop_
_atom_site_label
_atom_site_type_symbol
_atom_site_fract_x
_atom_site_fract_y
_atom_site_fract_z
Na1 Na 0.135 0.365 0.000
Bi1 Bi 0.000 0.000 0.500
Se1 Se 0.172 0.672 0.500
```



9.
## HPb2SBr (GGA-PBE)

Data for an optimized crystal structure of HPb2SBr.

- total magnetic moment (μB/f.u.) = 0.0
- calculated total energy (eV/atom) = -3.463
- calculated density (g cm⁻³) = 7.17
- crystal system = tetragonal

Geometry as CIF:
```
data_HPb2SBr
_cell_length_a 6.021
_cell_length_b 6.021
_cell_length_c 3.369
_cell_angle_alpha 90.00
_cell_angle_beta 90.00
_cell_angle_gamma 90.00
_space_group_name_H-M_alt 'P 4/m m m'
_space_group_IT_number 123
_space_group_name_Hall '-P 4 2'
loop_
_atom_site_label
_atom_site_type_symbol
_atom_site_fract_x
_atom_site_fract_y
_atom_site_fract_z
H1 H 0.000 0.000 0.000
Pb1 Pb 0.000 0.500 0.500
S1 S 0.000 0.000 0.500
Br1 Br 0.500 0.500 0.000
```



10.
## NaCd2AgSb (GGA-PBE)

Data for an optimized crystal structure of NaCd2AgSb.

- total magnetic moment (μB/f.u.) = 0.0
- calculated total energy (eV/atom) = -1.336
- calculated density (g cm⁻³) = 5.11
- formation energy (no corrections) (eV/atom) = 0.69
- ΔE to the lowest computed polymorph (eV/f.u.) = 2.19
- crystal system = tetragonal

Geometry as CIF:
```
data_NaCd2AgSb
_cell_length_a 5.312
_cell_length_b 5.312
_cell_length_c 5.502
_cell_angle_alpha 90.00
_cell_angle_beta 90.00
_cell_angle_gamma 90.00
_space_group_name_H-M_alt 'P 4/m m m'
_space_group_IT_number 123
_space_group_name_Hall '-P 4 2'
loop_
_atom_site_label
_atom_site_type_symbol
_atom_site_fract_x
_atom_site_fract_y
_atom_site_fract_z
Na1 Na 0.000 0.000 0.000
Cd1 Cd 0.000 0.500 0.000
Ag1 Ag 0.500 0.500 0.500
Sb1 Sb 0.000 0.000 0.500
```



11.
## NdDyNiHg (GGA-PBE)

Data for an optimized crystal structure of NdDyNiHg.

- total magnetic moment (μB/f.u.) = 0.0
- calculated total energy (eV/atom) = -4.171
- calculated density (g cm⁻³) = 9.81
- formation enthalpy at 0 K (eV per atom) = -0.308
- crystal system = cubic

Geometry as CIF:
```
data_NdDyNiHg
_cell_length_a 7.264
_cell_length_b 7.264
_cell_length_c 7.264
_cell_angle_alpha 90.00
_cell_angle_beta 90.00
_cell_angle_gamma 90.00
_space_group_name_H-M_alt 'F -4 3 m'
_space_group_IT_number 216
_space_group_name_Hall 'F -4 2 3'
loop_
_atom_site_label
_atom_site_type_symbol
_atom_site_fract_x
_atom_site_fract_y
_atom_site_fract_z
Nd1 Nd 0.000 0.000 0.000
Dy1 Dy 0.000 0.000 0.500
Ni1 Ni 0.250 0.250 0.250
Hg1 Hg 0.250 0.250 0.750
```



12.
## Sr2ThBe2N4 (GGA-PBE)

Data for an optimized crystal structure of Sr2ThBe2N4.

- total magnetic moment (μB/f.u.) = 0.0
- calculated total energy (eV/atom) = -6.719
- calculated density (g cm⁻³) = 6.14
- formation energy (no corrections) (eV/atom) = -0.99
- crystal system = monoclinic

Geometry as CIF:
```
data_Sr2ThBe2N4
_cell_length_a 12.679
_cell_length_b 3.422
_cell_length_c 6.690
_cell_angle_alpha 90.00
_cell_angle_beta 116.23
_cell_angle_gamma 90.00
_space_group_name_H-M_alt 'C 1 2/m 1'
_space_group_IT_number 12
_space_group_name_Hall '-C 2y'
loop_
_atom_site_label
_atom_site_type_symbol
_atom_site_fract_x
_atom_site_fract_y
_atom_site_fract_z
Sr1 Sr 0.136 0.000 0.095
Th1 Th 0.000 0.000 0.500
Be1 Be 0.178 0.500 0.461
N1 N 0.029 0.500 0.269
N2 N 0.213 0.000 0.627
```